Record 1
A plane-wave DFT calculation with PBE was carried out for crystalline HfCuOs3 at its relaxed geometry.

a b c (Å): 4.4363 4.4363 4.4363
angles (deg): 90.00 90.00 90.00
Atoms (fractional coordinates):
Hf (0.5000, 0.5000, 0.5000)
Os (0.0000, 0.5000, 0.0000)
Os (0.0000, 0.0000, 0.5000)
Os (0.5000, 0.0000, 0.0000)
Cu (0.0000, 0.0000, 0.0000)

Values from the calculation:
Relative energy among the computed polymorphs (kJ/mol of atoms): 0.0
Energy of formation from the pure elements (kJ/mol of atoms): 131

---

Record 2
A plane-wave DFT calculation with PBE was carried out for crystalline PmNiSbRu at its relaxed geometry.

a b c (Å): 4.7097 4.7097 4.7097
angles (deg): 60.00 60.00 60.00
Atoms (fractional coordinates):
Ni (0.2500, 0.2500, 0.2500)
Sb (0.5000, 0.5000, 0.5000)
Ru (0.7500, 0.7500, 0.7500)
Pm (0.0000, 0.0000, 0.0000)

Values from the calculation:
E_form (uncorrected) (meV/atom): -247

---

Record 3
A plane-wave DFT calculation with PBE was carried out for crystalline PmHo5Sc4 at its relaxed geometry.

a b c (Å): 5.3759 11.1427 10.0867
angles (deg): 90.00 90.00 90.00
Atoms (fractional coordinates):
Pm (0.2492, 0.0000, 0.0000)
Pm (0.7508, 0.5000, 0.5000)
Ho (0.7500, 0.2987, 0.3011)
Ho (0.7500, 0.2987, 0.6989)
Ho (0.2495, 0.0000, 0.5000)
Ho (0.7500, 0.7013, 0.3011)
Ho (0.7500, 0.7013, 0.6989)
Ho (0.2500, 0.7987, 0.1989)
Ho (0.2500, 0.7987, 0.8011)
Ho (0.7505, 0.5000, 0.0000)
Ho (0.2500, 0.2013, 0.8011)
Ho (0.2500, 0.2013, 0.1989)
Sc (0.7500, 0.1930, 0.0000)
Sc (0.7496, 0.0000, 0.2476)
Sc (0.7496, 0.0000, 0.7524)
Sc (0.7500, 0.8070, 0.0000)
Sc (0.2500, 0.6930, 0.5000)
Sc (0.2504, 0.5000, 0.2524)
Sc (0.2504, 0.5000, 0.7476)
Sc (0.2500, 0.3070, 0.5000)

Values from the calculation:
Relative energy among the computed polymorphs (kJ/mol of atoms): 0.0
Energy of formation from the pure elements (kJ/mol of atoms): 28

---

Record 4
A plane-wave DFT calculation with PBE was carried out for crystalline CePmY5Ho2 at its relaxed geometry.

a b c (Å): 5.7327 11.1325 9.6316
angles (deg): 90.00 90.00 104.92
Site moments in Bohr magnetons follow the coordinates.
Atoms (fractional coordinates):
Ce (0.8086, 0.6173, 0.5222)  0.61
Ce (0.1914, 0.3827, 0.0222)  0.61
Pm (0.5969, 0.1939, 0.9241)  -0.02
Pm (0.4031, 0.8061, 0.4241)  -0.02
Y (0.3902, 0.7804, 0.0408)  -0.01
Y (0.7335, 0.4670, 0.8345)  0.02
Y (0.4716, 0.9432, 0.7461)  -0.02
Y (0.3051, 0.6102, 0.7121)  0.03
Y (0.9872, 0.9744, 0.5138)  -0.01
Y (0.6098, 0.2196, 0.5408)  -0.01
Y (0.2665, 0.5330, 0.3345)  0.02
Y (0.5284, 0.0568, 0.2461)  -0.02
Y (0.6949, 0.3898, 0.2121)  0.03
Y (0.0128, 0.0256, 0.0138)  -0.01
Ho (0.8865, 0.7731, 0.8218)  0.01
Ho (0.1335, 0.2671, 0.7085)  0.02
Ho (0.1135, 0.2269, 0.3218)  0.01
Ho (0.8665, 0.7329, 0.2085)  0.02

Values from the calculation:
Energy of formation from the pure elements (kJ/mol of atoms): 17